Density functional theory data (PBE) for a relaxed structure of Y12Ho5Th2.

Unit cell a=9.4413 b=12.3453 c=8.5765 alpha=132.57 beta=90.00 gamma=112.48
With the nearest neighbours (Å) after each atom.
Atoms (fractional coordinates):
Y: 0.8200 0.2557 0.5961  4 Ho 3.41-3.76, 5 Y 3.42-3.63, 1 Th 3.58
Y: 0.3305 0.3033 0.0641  1 Th 3.38, 4 Y 3.38-3.66, 4 Ho 3.52-3.70
Y: 0.6695 0.6967 0.9359  1 Th 3.38, 4 Y 3.38-3.66, 4 Ho 3.52-3.70
Y: 0.5642 0.7443 0.4039  4 Ho 3.41-3.76, 5 Y 3.42-3.63, 1 Th 3.58
Y: 0.5582 0.1164 0.7905  2 Th 3.35, 2 Ho 3.36-3.47, 7 Y 3.42-3.54
Y: 0.4418 0.8836 0.2095  2 Th 3.35, 2 Ho 3.36-3.47, 7 Y 3.42-3.54
Y: 0.0829 0.1658 0.2873  5 Y 3.36-3.66, 3 Ho 3.46-3.53, 2 Th 3.50
Y: 0.0272 0.6967 0.9359  1 Th 3.38, 4 Y 3.38-3.66, 4 Ho 3.52-3.70
Y: 0.1800 0.7443 0.4039  4 Ho 3.41-3.76, 5 Y 3.42-3.63, 1 Th 3.58
Y: 0.9728 0.3033 0.0641  1 Th 3.38, 4 Y 3.38-3.66, 4 Ho 3.52-3.70
Y: 0.9171 0.8342 0.7127  5 Y 3.36-3.66, 3 Ho 3.46-3.53, 2 Th 3.50
Y: 0.4358 0.2557 0.5961  4 Ho 3.41-3.76, 5 Y 3.42-3.63, 1 Th 3.58
Ho: 0.7689 0.5378 0.1115  8 Y 3.36-3.53, 2 Ho 3.63-3.65
Ho: 0.0000 0.0000 0.5000  10 Y 3.46-3.76, 2 Ho 3.63
Ho: 0.6971 0.3942 0.3772  8 Y 3.47-3.70, 2 Th 3.48, 1 Ho 3.65
Ho: 0.3029 0.6058 0.6228  8 Y 3.47-3.70, 2 Th 3.48, 1 Ho 3.65
Ho: 0.2311 0.4622 0.8885  8 Y 3.36-3.53, 2 Ho 3.63-3.65
Th: 0.3249 0.0000 0.0000  1 Th 3.31, 8 Y 3.35-3.58, 2 Ho 3.48
Th: 0.6751 0.0000 0.0000  1 Th 3.31, 8 Y 3.35-3.58, 2 Ho 3.48

Properties
ΔH_f (0 K)	0.1492	eV/atom
energy	-112.46	eV for the cell shown
relative energy among the computed polymorphs	44	meV/atom
total magnetic moment	0.01	μB/f.u.
symmetry	C2/m